Sr2Mg2Tl3 | PBE-GGA | optimized geometry

Cell and atoms, written as extended XYZ:
```
7
Lattice="4.266 0.000 0.566 0.000 3.744 0.000 0.382 0.000 13.478" Properties=species:S:1:pos:R:3 pbc="T T T"
Sr 2.791 1.872 11.680
Sr 1.857 1.872 2.364
Mg 3.255 1.872 8.183
Mg 1.393 1.872 5.861
Tl 3.680 0.000 4.978
Tl 0.000 0.000 0.000
Tl 0.967 0.000 9.066
```

Computed properties:
total moment: 0.00 Bohr magnetons per cell
DFT formation energy: -0.190 eV per atom
calculated volume: 30.6 Å³ per atom
VASP energy: -2.1404 eV per atom

***

Si4Pt3 | PBE-GGA | optimized geometry

Cell and atoms, written as extended XYZ:
```
7
Lattice="-7.224 5.103 0.181 -5.645 5.081 -4.536 5.017 -7.082 1.712" Properties=species:S:1:pos:R:3 pbc="T T T"
Si -10.950 8.665 -3.705
Si -1.919 1.519 -0.649
Si -7.276 5.757 -2.462
Si -5.593 4.426 -1.893
Pt 0.000 0.000 0.000
Pt -9.050 7.161 -3.062
Pt -3.819 3.022 -1.292
```

Computed properties:
ΔE_f (raw): -0.298 eV/atom
total moment: 0.00 Bohr magnetons per cell
calculated volume: 15.0 Å³ per atom
VASP energy: -5.9855 eV per atom

***

Na2FePb2 | PBE-GGA | optimized geometry

Cell and atoms, written as extended XYZ:
```
10
Lattice="7.148 0.000 0.000 0.000 7.148 0.000 0.000 0.000 5.317" Properties=species:S:1:pos:R:3 pbc="T T T"
Pb 2.419 5.993 0.000
Pb 5.993 4.729 0.000
Pb 4.729 1.155 0.000
Pb 1.155 2.419 0.000
Na 1.181 4.755 2.658
Na 4.755 5.966 2.658
Na 5.966 2.392 2.658
Na 2.392 1.181 2.658
Fe 0.000 0.000 0.000
Fe 3.574 3.574 0.000
```

Computed properties:
total moment: 5.04 Bohr magnetons per cell
DFT formation energy: 0.252 eV per atom
calculated volume: 27.2 Å³ per atom
VASP energy: -3.4519 eV per atom

***

Sr2PmZrAs4 | PBE-GGA | optimized geometry

Cell and atoms, written as extended XYZ:
```
8
Lattice="4.179 0.000 0.000 0.000 7.273 0.143 0.000 -2.526 7.118" Properties=species:S:1:pos:R:3 pbc="T T T"
Sr 2.090 -1.263 3.559
Sr 0.000 2.373 3.631
Pm 2.090 3.637 0.072
Zr 0.000 0.000 0.000
As 2.090 1.083 1.568
As 2.090 3.664 5.693
As 0.000 -0.201 5.568
As 0.000 4.948 1.693
```

Computed properties:
total moment: 0.00 Bohr magnetons per cell
DFT formation energy: -1.164 eV per atom
calculated volume: 27.2 Å³ per atom
VASP energy: -5.5713 eV per atom